## w
# DyBSb, optimized geometry, DFT PBE-GGA
data_DyBSb
_chemical_formula_sum 'Dy4 B4 Sb4'
_cell_length_a 6.817
_cell_length_b 6.817
_cell_length_c 6.817
_cell_angle_alpha 90.00
_cell_angle_beta 90.00
_cell_angle_gamma 90.00
_symmetry_space_group_name_H-M 'P 1'
_symmetry_Int_Tables_number 1
loop_
_symmetry_equiv_pos_as_xyz
'x,y,z'
loop_
_atom_site_label
_atom_site_type_symbol
_atom_site_fract_x
_atom_site_fract_y
_atom_site_fract_z
Dy1 Dy 0.000 0.000 0.000
Dy2 Dy 0.000 0.500 0.500
Dy3 Dy 0.500 0.000 0.500
Dy4 Dy 0.500 0.500 0.000
B1 B 0.000 0.000 0.500
B2 B 0.000 0.500 0.000
B3 B 0.500 0.000 0.000
B4 B 0.500 0.500 0.500
Sb1 Sb 0.250 0.250 0.750
Sb2 Sb 0.250 0.750 0.250
Sb3 Sb 0.750 0.250 0.250
Sb4 Sb 0.750 0.750 0.750
# Mass density ... 6.2 Mg/m³
# Space-group type ... No. 216


## x
# DyBSb, optimized geometry, DFT PBE-GGA
data_DyBSb
_chemical_formula_sum 'Dy4 B4 Sb4'
_cell_length_a 6.319
_cell_length_b 6.319
_cell_length_c 6.319
_cell_angle_alpha 90.00
_cell_angle_beta 90.00
_cell_angle_gamma 90.00
_symmetry_space_group_name_H-M 'P 1'
_symmetry_Int_Tables_number 1
loop_
_symmetry_equiv_pos_as_xyz
'x,y,z'
loop_
_atom_site_label
_atom_site_type_symbol
_atom_site_fract_x
_atom_site_fract_y
_atom_site_fract_z
Dy1 Dy 0.000 0.000 0.000
Dy2 Dy 0.000 0.500 0.500
Dy3 Dy 0.500 0.000 0.500
Dy4 Dy 0.500 0.500 0.000
B1 B 0.250 0.250 0.250
B2 B 0.250 0.750 0.750
B3 B 0.750 0.250 0.750
B4 B 0.750 0.750 0.250
Sb1 Sb 0.000 0.000 0.500
Sb2 Sb 0.000 0.500 0.000
Sb3 Sb 0.500 0.000 0.000
Sb4 Sb 0.500 0.500 0.500
# Mass density ... 7.8 Mg/m³
# Space-group type ... No. 216


In meV/atom, relative to the most stable structure: w 647; x 0.


## w
# SrDyB4, optimized geometry, DFT PBE-GGA
data_SrDyB4
_chemical_formula_sum 'Sr2 Dy2 B8'
_cell_length_a 3.208
_cell_length_b 5.968
_cell_length_c 8.216
_cell_angle_alpha 90.00
_cell_angle_beta 90.00
_cell_angle_gamma 90.00
_symmetry_space_group_name_H-M 'P 1'
_symmetry_Int_Tables_number 1
loop_
_symmetry_equiv_pos_as_xyz
'x,y,z'
loop_
_atom_site_label
_atom_site_type_symbol
_atom_site_fract_x
_atom_site_fract_y
_atom_site_fract_z
Sr1 Sr 0.000 0.000 0.000
Sr2 Sr 0.500 0.500 0.500
Dy1 Dy 0.000 0.000 0.500
Dy2 Dy 0.500 0.500 0.000
B1 B 0.000 0.316 0.244
B2 B 0.000 0.316 0.756
B3 B 0.000 0.684 0.244
B4 B 0.000 0.684 0.756
B5 B 0.500 0.184 0.256
B6 B 0.500 0.184 0.744
B7 B 0.500 0.816 0.256
B8 B 0.500 0.816 0.744
# Mass density ... 6.2 Mg/m³
# Space-group type ... No. 71


## x
# SrDyB4, optimized geometry, DFT PBE-GGA
data_SrDyB4
_chemical_formula_sum 'Sr1 Dy1 B4'
_cell_length_a 3.316
_cell_length_b 3.316
_cell_length_c 8.225
_cell_angle_alpha 90.00
_cell_angle_beta 90.00
_cell_angle_gamma 120.00
_symmetry_space_group_name_H-M 'P 1'
_symmetry_Int_Tables_number 1
loop_
_symmetry_equiv_pos_as_xyz
'x,y,z'
loop_
_atom_site_label
_atom_site_type_symbol
_atom_site_fract_x
_atom_site_fract_y
_atom_site_fract_z
Sr1 Sr 0.000 0.000 0.000
Dy1 Dy 0.000 0.000 0.500
B1 B 0.333 0.667 0.270
B2 B 0.333 0.667 0.730
B3 B 0.667 0.333 0.270
B4 B 0.667 0.333 0.730
# Mass density ... 6.2 Mg/m³
# Space-group type ... No. 191


In meV/atom, relative to the most stable structure: w 79; x 0.